# FeTe2PI (PBE, optimized geometry)
data_FeTe2PI
_chemical_formula_sum 'Fe1 Te2 P1 I1'
_cell_length_a 5.315
_cell_length_b 5.315
_cell_length_c 5.242
_cell_angle_alpha 90.00
_cell_angle_beta 90.00
_cell_angle_gamma 90.00
_space_group_name_H-M_alt 'P 4/m m m'
_space_group_IT_number 123
_space_group_name_Hall '-P 4 2'
loop_
_atom_site_label
_atom_site_type_symbol
_atom_site_fract_x
_atom_site_fract_y
_atom_site_fract_z
Fe1 Fe 0.000 0.000 0.000
Te1 Te 0.000 0.500 0.500
P1 P 0.500 0.500 0.500
I1 I 0.500 0.500 0.000
# Offset from the most stable computed form: 0.51 eV/f.u.
# Formation energy without anion corrections: 0.918 eV/atom
# Crystal system: tetragonal